## Mg2TcCl (PBE-GGA)

Data for a geometry-optimized Mg2TcCl structure.

The calculation puts the total DFT energy (no corrections) at -14.5 eV for the cell shown. As for the excess energy over the best structure of this formula in the dataset: 0.479 eV/atom. For the formation energy without anion corrections, the calculation gives 83.5 kJ/mol of formula units. The density is 3.98 Mg/m³.

It has space group P4mm (No. 99), with a = 3.040 Å, b = 3.040 Å, c = 8.216 Å, α = 90.00°, β = 90.00° and γ = 90.00°. The distinct sites, in fractional coordinates, are Mg at (0.000, 0.000, 0.000), Mg at (0.500, 0.500, 0.300), Tc at (0.000, 0.000, 0.527) and Cl at (0.500, 0.500, 0.772).